[1]
# Ta2NbMo | the Open Quantum Materials Database | PBE | optimized geometry
# Formation energy = -0.05 eV per atom
# E = -179.43 eV for the cell shown
data_Ta2NbMo
_space_group_name_H-M_alt 'F -4 3 m'
_space_group_IT_number 216
_space_group_name_Hall 'F -4 2 3'
_cell_length_a 6.540
_cell_length_b 6.540
_cell_length_c 6.540
_cell_angle_alpha 90.00
_cell_angle_beta 90.00
_cell_angle_gamma 90.00
loop_
_atom_site_label
_atom_site_type_symbol
_atom_site_fract_x
_atom_site_fract_y
_atom_site_fract_z
_atom_site_occupancy
Ta1 Ta 0.000 0.000 0.000 1
Ta2 Ta 0.250 0.250 0.250 1
Nb1 Nb 0.000 0.000 0.500 1
Mo1 Mo 0.250 0.250 0.750 1

[2]
# TaNb2Mo | the Open Quantum Materials Database | PBE | optimized geometry
# Formation energy = -0.06 eV per atom
# E = -172.58 eV for the cell shown
data_TaNb2Mo
_space_group_name_H-M_alt 'F -4 3 m'
_space_group_IT_number 216
_space_group_name_Hall 'F -4 2 3'
_cell_length_a 6.540
_cell_length_b 6.540
_cell_length_c 6.540
_cell_angle_alpha 90.00
_cell_angle_beta 90.00
_cell_angle_gamma 90.00
loop_
_atom_site_label
_atom_site_type_symbol
_atom_site_fract_x
_atom_site_fract_y
_atom_site_fract_z
_atom_site_occupancy
Ta1 Ta 0.000 0.000 0.000 1
Nb1 Nb 0.000 0.000 0.500 1
Nb2 Nb 0.250 0.250 0.750 1
Mo1 Mo 0.250 0.250 0.250 1

[3]
# TaNbMo2 | the Open Quantum Materials Database | PBE | optimized geometry
# Formation energy = -0.09 eV per atom
# E = -175.96 eV for the cell shown
data_TaNbMo2
_space_group_name_H-M_alt 'F -4 3 m'
_space_group_IT_number 216
_space_group_name_Hall 'F -4 2 3'
_cell_length_a 6.458
_cell_length_b 6.458
_cell_length_c 6.458
_cell_angle_alpha 90.00
_cell_angle_beta 90.00
_cell_angle_gamma 90.00
loop_
_atom_site_label
_atom_site_type_symbol
_atom_site_fract_x
_atom_site_fract_y
_atom_site_fract_z
_atom_site_occupancy
Ta1 Ta 0.000 0.000 0.000 1
Nb1 Nb 0.250 0.250 0.750 1
Mo1 Mo 0.000 0.000 0.500 1
Mo2 Mo 0.250 0.250 0.250 1